Record 1
Entry from Alexandria via LeMat-Bulk: a relaxed structure of Sm12Ru3O5 (GGA-PBE).

a b c (Å): 13.413 13.413 13.413
angles (deg): 109.47 109.47 109.47
Atoms (fractional coordinates):
1 Sm 0.024 0.208 0.120
2 Sm 0.024 0.317 0.905
3 Sm 0.088 0.708 0.683
4 Sm 0.088 0.880 0.405
5 Sm 0.095 0.620 0.412
6 Sm 0.095 0.976 0.683
7 Sm 0.120 0.024 0.208
8 Sm 0.120 0.595 0.912
9 Sm 0.183 0.208 0.588
10 Sm 0.183 0.476 0.595
11 Sm 0.208 0.120 0.024
12 Sm 0.208 0.588 0.183
13 Sm 0.292 0.317 0.912
14 Sm 0.292 0.476 0.380
15 Sm 0.317 0.905 0.024
16 Sm 0.317 0.912 0.292
17 Sm 0.380 0.292 0.476
18 Sm 0.380 0.588 0.905
19 Sm 0.405 0.088 0.880
20 Sm 0.405 0.817 0.524
21 Sm 0.412 0.095 0.620
22 Sm 0.412 0.817 0.792
23 Sm 0.476 0.380 0.292
24 Sm 0.476 0.595 0.183
25 Sm 0.524 0.405 0.817
26 Sm 0.524 0.620 0.708
27 Sm 0.588 0.183 0.208
28 Sm 0.588 0.905 0.380
29 Sm 0.595 0.183 0.476
30 Sm 0.595 0.912 0.120
31 Sm 0.620 0.412 0.095
32 Sm 0.620 0.708 0.524
33 Sm 0.683 0.088 0.708
34 Sm 0.683 0.095 0.976
35 Sm 0.708 0.524 0.620
36 Sm 0.708 0.683 0.088
37 Sm 0.792 0.412 0.817
38 Sm 0.792 0.880 0.976
39 Sm 0.817 0.524 0.405
40 Sm 0.817 0.792 0.412
41 Sm 0.880 0.405 0.088
42 Sm 0.880 0.976 0.792
43 Sm 0.905 0.024 0.317
44 Sm 0.905 0.380 0.588
45 Sm 0.912 0.120 0.595
46 Sm 0.912 0.292 0.317
47 Sm 0.976 0.683 0.095
48 Sm 0.976 0.792 0.880
49 Ru 0.125 0.250 0.375
50 Ru 0.125 0.375 0.750
51 Ru 0.250 0.375 0.125
52 Ru 0.250 0.875 0.625
53 Ru 0.375 0.125 0.250
54 Ru 0.375 0.750 0.125
55 Ru 0.625 0.250 0.875
56 Ru 0.625 0.875 0.750
57 Ru 0.750 0.125 0.375
58 Ru 0.750 0.625 0.875
59 Ru 0.875 0.625 0.250
60 Ru 0.875 0.750 0.625
61 O 0.000 0.000 0.000
62 O 0.000 0.000 0.500
63 O 0.000 0.500 0.000
64 O 0.000 0.500 0.500
65 O 0.125 0.750 0.875
66 O 0.125 0.875 0.250
67 O 0.250 0.125 0.875
68 O 0.250 0.625 0.375
69 O 0.375 0.250 0.625
70 O 0.375 0.625 0.750
71 O 0.500 0.000 0.000
72 O 0.500 0.000 0.500
73 O 0.500 0.500 0.000
74 O 0.500 0.500 0.500
75 O 0.625 0.375 0.250
76 O 0.625 0.750 0.375
77 O 0.750 0.375 0.625
78 O 0.750 0.875 0.125
79 O 0.875 0.125 0.750
80 O 0.875 0.250 0.125

Computed properties:
Space group: No. 230
ΔE_f (raw) in meV per atom: -1434
Spin magnetization in μB per formula unit: 0.000
Electronic total energy in eV/atom: -6.896
DOS(E_F) in states/eV per atom: 0.891

***

Record 2
Entry from Alexandria via LeMat-Bulk: a relaxed structure of Er6Fe2Hg (GGA-PBE).

a b c (Å): 8.280 8.280 8.280
angles (deg): 111.88 109.39 107.18
Atoms (fractional coordinates):
1 Er 0.008 0.224 0.784
2 Er 0.189 0.293 0.481
3 Er 0.189 0.707 0.896
4 Er 0.314 0.019 0.704
5 Er 0.314 0.610 0.296
6 Er 0.440 0.224 0.216
7 Er 0.560 0.776 0.784
8 Er 0.686 0.390 0.704
9 Er 0.686 0.981 0.296
10 Er 0.811 0.293 0.104
11 Er 0.811 0.707 0.519
12 Er 0.992 0.776 0.216
13 Fe 0.109 0.609 0.500
14 Fe 0.387 0.000 0.387
15 Fe 0.613 0.000 0.613
16 Fe 0.891 0.391 0.500
17 Hg 0.000 0.000 0.000
18 Hg 0.500 0.500 0.000

Computed properties:
Space group: No. 71
Spin magnetization in μB per formula unit: 0.526
Electronic total energy in eV/atom: -5.123
Formation energy from the elements in eV per atom: -0.1667
DOS(E_F) in states/eV per atom: 1.009

***

Record 3
Entry from Alexandria via LeMat-Bulk: a relaxed structure of Pm2PaSe2N2 (GGA-PBE).

a b c (Å): 8.367 8.367 8.367
angles (deg): 149.74 149.74 43.32
Atoms (fractional coordinates):
1 Pm 0.123 0.123 0.000
2 Pm 0.877 0.877 0.000
3 Pa 0.500 0.500 0.000
4 Se 0.316 0.316 0.000
5 Se 0.684 0.684 0.000
6 N 0.000 0.500 0.500
7 N 0.500 0.000 0.500

Computed properties:
Space group: No. 139
ΔE_f (raw) in meV per atom: -1547
Spin magnetization in μB per formula unit: 0.001
Electronic total energy in eV/atom: -7.635
DOS(E_F) in states/eV per atom: 0.796

***

Record 4
Entry from Alexandria via LeMat-Bulk: a relaxed structure of BiSb2Se (GGA-PBE).

a b c (Å): 7.602 7.602 6.408
angles (deg): 96.69 96.69 46.52
Atoms (fractional coordinates):
1 Bi 0.000 0.000 0.000
2 Bi 0.193 0.193 0.615
3 Sb 0.215 0.215 0.087
4 Sb 0.405 0.405 0.539
5 Sb 0.735 0.735 0.193
6 Sb 0.930 0.930 0.424
7 Se 0.481 0.481 0.936
8 Se 0.658 0.658 0.543

Computed properties:
Space group: No. 8
ΔE_f (raw) in meV per atom: -36
Spin magnetization in μB per formula unit: 0.000
Offset from the most stable computed form in eV/atom: 0.018
Electronic total energy in eV/atom: -3.938
DOS(E_F) in states/eV per atom: 0.086

***

Record 5
Entry from Alexandria via LeMat-Bulk: a relaxed structure of CeTa2H8 (GGA-PBE).

a b c (Å): 5.271 5.271 3.673
angles (deg): 91.52 91.52 113.45
Atoms (fractional coordinates):
1 Ce 0.000 0.000 0.000
2 Ta 0.336 0.664 0.500
3 Ta 0.664 0.336 0.500
4 H 0.026 0.315 0.545
5 H 0.267 0.733 0.000
6 H 0.315 0.026 0.545
7 H 0.379 0.379 0.222
8 H 0.621 0.621 0.778
9 H 0.685 0.974 0.455
10 H 0.733 0.267 0.000
11 H 0.974 0.685 0.455

Computed properties:
Space group: No. 12
Spin magnetization in μB per formula unit: 0.615
Offset from the most stable computed form in eV/atom: 0.000
Electronic total energy in eV/atom: -5.348
DOS(E_F) in states/eV per atom: 0.604

***

Record 6
Entry from Alexandria via LeMat-Bulk: a relaxed structure of InNiHg (GGA-PBE).

a b c (Å): 4.418 4.418 3.461
angles (deg): 90.00 90.00 120.00
Atoms (fractional coordinates):
1 In 0.000 0.000 0.000
2 Ni 0.667 0.333 0.260
3 Hg 0.333 0.667 0.536

Computed properties:
Space group: No. 156
Spin magnetization in μB per formula unit: 0.000
Offset from the most stable computed form in eV/atom: 0.205
Electronic total energy in eV/atom: -2.710
Formation energy from the elements in eV per atom: 0.2307
DOS(E_F) in states/eV per atom: 0.625